The following is a meta-GGA SCAN calculation of a crystal of Mg2ZrOs relaxed with PBEsol, from the Alexandria database.

Results
V: 17.818 Å³ per atom
ΔE_f: -0.1279 eV/atom
Relative energy among the computed polymorphs: 0.000 eV per atom
M_tot: 0.0 μB/f.u.

Cell lengths 3.894, 3.894, 4.701 Å; angles 90.00, 90.00, 90.00 degrees
Space group P4/mmm (No. 123)
Asymmetric unit:
Mg (0.000, 0.500, 0.000)
Zr (0.000, 0.000, 0.500)
Os (0.500, 0.500, 0.500)